(1)
DFT (GGA-PBE) results for crystalline Er3InCo at its relaxed geometry.

Properties
Space group = Pm-3m (221)
Formation enthalpy at 0 K = -0.19 eV/atom
DOS at the Fermi energy = 1.14 states/eV/atom
Total moment = 0.0 μB/f.u.
Uncorrected energy = -4.901 eV/atom

Cell and atoms, written as POSCAR:
```
Er3InCo
1.0
5.096 0.000 0.000
0.000 5.096 0.000
0.000 0.000 5.096
Er In Co
3 1 1
Cartesian
0.000 0.000 2.548 Er
0.000 2.548 0.000 Er
2.548 0.000 0.000 Er
2.548 2.548 2.548 In
0.000 0.000 0.000 Co
```


(2)
DFT (GGA-PBE) results for crystalline Er2InCo at its relaxed geometry.

Properties
Space group = Fm-3m (225)
Formation enthalpy at 0 K = -0.21 eV/atom
DOS at the Fermi energy = 0.55 states/eV/atom
Total moment = 1.2 μB/f.u.
Uncorrected energy = -4.957 eV/atom

Cell and atoms, written as POSCAR:
```
Er2InCo
1.0
0.000 3.562 3.562
3.562 0.000 3.562
3.562 3.562 0.000
Er In Co
2 1 1
Cartesian
1.781 1.781 1.781 Er
5.343 5.343 5.343 Er
0.000 0.000 0.000 In
3.562 3.562 3.562 Co
```


(3)
DFT (GGA-PBE) results for crystalline ErInCo4 at its relaxed geometry.

Properties
Space group = F-43m (216)
Formation enthalpy at 0 K = -0.16 eV/atom
DOS at the Fermi energy = 1.48 states/eV/atom
Total moment = 4.6 μB/f.u.
Uncorrected energy = -6.115 eV/atom

Cell and atoms, written as POSCAR:
```
ErInCo4
1.0
0.000 3.517 3.517
3.517 0.000 3.517
3.517 3.517 0.000
Er In Co
1 1 4
Cartesian
0.000 0.000 0.000 Er
1.759 1.759 1.759 In
4.394 2.641 2.641 Co
2.641 4.394 2.641 Co
2.641 2.641 4.394 Co
4.394 4.394 4.394 Co
```


(4)
DFT (GGA-PBE) results for crystalline Er4In2Co at its relaxed geometry.

Properties
Space group = P2/m (10)
Formation enthalpy at 0 K = -0.22 eV/atom
DOS at the Fermi energy = 0.73 states/eV/atom
Total moment = 0.0 μB/f.u.
Uncorrected energy = -4.623 eV/atom

Cell and atoms, written as POSCAR:
```
Er4In2Co
1.0
6.369 0.000 0.000
0.000 3.594 0.000
-3.060 0.000 8.325
Er In Co
4 2 1
Cartesian
0.011 0.000 2.181 Er
0.179 1.797 5.387 Er
3.131 1.797 2.938 Er
3.298 0.000 6.144 Er
-1.379 1.797 8.300 In
4.688 1.797 0.025 In
1.655 0.000 4.163 Co
```


(5)
DFT (GGA-PBE) results for crystalline Er6InCo at its relaxed geometry.

Properties
Space group = C2/m (12)
Formation enthalpy at 0 K = -0.04 eV/atom
DOS at the Fermi energy = 1.36 states/eV/atom
Total moment = 0.0 μB/f.u.
Uncorrected energy = -4.690 eV/atom

Cell and atoms, written as POSCAR:
```
Er6InCo
1.0
3.951 -4.886 0.000
3.951 4.886 0.000
-1.614 0.000 5.961
Er In Co
6 1 1
Cartesian
1.950 3.059 4.248 Er
0.813 0.000 5.268 Er
4.337 3.059 1.713 Er
1.950 -3.059 4.248 Er
5.475 0.000 0.693 Er
4.337 -3.059 1.713 Er
3.144 0.000 2.981 In
0.000 0.000 0.000 Co
```


(6)
DFT (GGA-PBE) results for crystalline Er5In2Co2 at its relaxed geometry.

Properties
Space group = Cmce (64)
Formation enthalpy at 0 K = -0.30 eV/atom
DOS at the Fermi energy = 0.73 states/eV/atom
Total moment = 0.0 μB/f.u.
Uncorrected energy = -5.020 eV/atom

Cell and atoms, written as POSCAR:
```
Er5In2Co2
1.0
8.297 -3.619 0.000
8.297 3.619 0.000
0.000 0.000 7.210
Er In Co
10 4 4
Cartesian
0.000 0.000 0.000 Er
6.376 2.290 4.900 Er
6.376 1.329 1.295 Er
10.217 2.290 4.900 Er
10.217 1.329 1.295 Er
8.297 0.000 3.605 Er
6.376 -1.329 5.915 Er
6.376 -2.290 2.310 Er
10.217 -1.329 5.915 Er
10.217 -2.290 2.310 Er
3.794 0.000 0.000 In
4.502 0.000 3.605 In
12.091 0.000 3.605 In
12.799 0.000 0.000 In
8.297 2.806 2.807 Co
8.297 0.813 6.412 Co
8.297 -0.813 0.798 Co
8.297 -2.806 4.403 Co
```